Density functional theory data (PBE) for crystalline AsI3 at its relaxed geometry.

Unit cell a=5.588 b=5.588 c=5.588 alpha=60.00 beta=60.00 gamma=60.00
Fractional coordinates of all 4 atoms:
As 0.000 0.000 0.000
I 0.750 0.750 0.750
I 0.250 0.250 0.250
I 0.500 0.500 0.500

Properties
**Formation energy from raw total energies**: 0.6291 eV/atom
**DOS at the Fermi energy**: 1.23 states/eV/f.u.
**Total moment**: 0.00 μB per atom

***

Density functional theory data (PBE) for crystalline YSi2As at its relaxed geometry.

Unit cell a=4.848 b=4.848 c=4.848 alpha=60.00 beta=60.00 gamma=60.00
Fractional coordinates of all 4 atoms:
Si 0.000 0.000 0.000
Si 0.250 0.250 0.250
Y 0.750 0.750 0.750
As 0.500 0.500 0.500

Properties
**Formation energy from raw total energies**: 0.0380 eV/atom
**DOS at the Fermi energy**: 1.52 states/eV/f.u.
**Total moment**: 0.00 μB per atom

***

Density functional theory data (PBE) for crystalline AcNdMg at its relaxed geometry.

Unit cell a=3.981 b=3.981 c=7.193 alpha=106.07 beta=106.07 gamma=90.00
Fractional coordinates of all 3 atoms:
Ac 0.292 0.292 0.585
Mg 0.959 0.959 0.918
Nd 0.598 0.598 0.197

Properties
**DOS at the Fermi energy**: 3.91 states/eV/f.u.
**E_form**: -0.1 eV/f.u.
**Total moment**: 0.00 μB per atom
**Relative energy among the computed polymorphs**: 0.000 eV/atom

***

Density functional theory data (PBE) for crystalline ScTc2Sb at its relaxed geometry.

Unit cell a=4.476 b=4.476 c=3.375 alpha=90.00 beta=90.00 gamma=90.00
Fractional coordinates of all 4 atoms:
Sb 0.500 0.000 0.500
Tc 0.000 0.000 0.000
Tc 0.500 0.500 0.000
Sc 0.000 0.500 0.500

Properties
**Formation energy from raw total energies**: -0.1929 eV/atom
**DOS at the Fermi energy**: 4.86 states/eV/f.u.
**Total moment**: 0.00 μB per atom

***

Density functional theory data (PBE) for crystalline TlAgTe2Se4 at its relaxed geometry.

Unit cell a=7.926 b=6.579 c=6.579 alpha=63.17 beta=52.96 gamma=52.96
Fractional coordinates of all 8 atoms:
Ag 0.000 0.500 0.500
Se 0.000 0.553 0.066
Se 0.619 0.447 0.934
Se 0.381 0.066 0.553
Se 0.000 0.934 0.447
Tl 0.000 0.000 0.000
Te 0.500 0.250 0.750
Te 0.500 0.750 0.250

Properties
**Formation energy from raw total energies**: -0.0325 eV/atom
**DOS at the Fermi energy**: 3.37 states/eV/f.u.
**Total moment**: 0.00 μB per atom

***

Density functional theory data (PBE) for crystalline YCrCl2 at its relaxed geometry.

Unit cell a=3.673 b=3.673 c=8.554 alpha=90.00 beta=90.00 gamma=124.66
Fractional coordinates of all 4 atoms:
Y 0.500 0.500 0.750
Cl 0.000 0.000 0.021
Cl 0.000 0.000 0.479
Cr 0.500 0.500 0.250

Properties
**Formation energy from raw total energies**: -0.5538 eV/atom
**DOS at the Fermi energy**: 1.30 states/eV/f.u.
**Total moment**: 1.24 μB per atom
**Relative energy among the computed polymorphs**: 0.265 eV/atom

***

What did the fourth record say?
Density functional theory data (PBE) for crystalline ScTc2Sb at its relaxed geometry.

Unit cell a=4.476 b=4.476 c=3.375 alpha=90.00 beta=90.00 gamma=90.00
Fractional coordinates of all 4 atoms:
Sb 0.500 0.000 0.500
Tc 0.000 0.000 0.000
Tc 0.500 0.500 0.000
Sc 0.000 0.500 0.500

Properties
**Formation energy from raw total energies**: -0.1929 eV/atom
**DOS at the Fermi energy**: 4.86 states/eV/f.u.
**Total moment**: 0.00 μB per atom